No. 1
{
  "formula": "KGaSnAu",
  "functional": "PBE-GGA",
  "state": "relaxed",
  "lattice_angstrom": [[-2.725, -2.089, -2.775], [-1.131, -4.199, 0.761], [-6.052, 2.409, 4.164]],
  "species": ["K", "Ga", "Sn", "Au"],
  "frac_coords": [[0.358, 0.358, 0.214], [0.691, 0.691, 0.920], [0.357, 0.357, 0.671], [0.024, 0.024, 0.843]],
  "dos_at_fermi_per_ev_atom": 0.652,
  "delta_e_f_ev_per_atom": -0.188
}



No. 2
{
  "formula": "SmCo4Pd",
  "functional": "PBE-GGA",
  "state": "relaxed",
  "lattice_angstrom": [[4.974, 0.000, 0.000], [2.487, 4.307, 0.000], [2.487, 1.436, 4.061]],
  "species": ["Co", "Co", "Co", "Co", "Pd", "Sm"],
  "frac_coords": [[0.624, 0.624, 0.129], [0.624, 0.129, 0.624], [0.624, 0.624, 0.624], [0.129, 0.624, 0.624], [0.250, 0.250, 0.250], [0.000, 0.000, 0.000]],
  "dos_at_fermi_per_ev_atom": 1.090,
  "delta_e_f_ev_per_atom": -0.087
}



No. 3
{
  "formula": "AcIn6Hg8",
  "functional": "PBE-GGA",
  "state": "relaxed",
  "lattice_angstrom": [[-0.349, -7.718, 2.458], [6.747, -2.166, 3.939], [-1.266, -0.514, 7.991]],
  "species": ["Ac", "In", "In", "In", "In", "In", "In", "Hg", "Hg", "Hg", "Hg", "Hg", "Hg", "Hg", "Hg"],
  "frac_coords": [[0.000, 0.000, 0.000], [0.707, 0.439, 0.061], [0.061, 0.707, 0.439], [0.439, 0.061, 0.707], [0.293, 0.561, 0.939], [0.939, 0.293, 0.561], [0.561, 0.939, 0.293], [0.336, 0.336, 0.336], [0.664, 0.664, 0.664], [0.110, 0.408, 0.793], [0.793, 0.110, 0.408], [0.408, 0.793, 0.110], [0.890, 0.592, 0.207], [0.207, 0.890, 0.592], [0.592, 0.207, 0.890]],
  "dos_at_fermi_per_ev_atom": 0.386,
  "delta_e_f_ev_per_atom": -0.058
}



No. 4
{
  "formula": "Sm2TmPd3",
  "functional": "PBE-GGA",
  "state": "relaxed",
  "lattice_angstrom": [[-2.590, -1.153, 1.981], [3.299, -2.486, 2.865], [1.431, 12.306, 9.032]],
  "species": ["Sm", "Sm", "Sm", "Sm", "Tm", "Tm", "Pd", "Pd", "Pd", "Pd", "Pd", "Pd"],
  "frac_coords": [[0.002, 0.000, 0.666], [0.002, 0.000, 0.334], [0.998, 0.500, 0.166], [0.998, 0.500, 0.834], [0.002, 0.500, 0.500], [0.998, 0.000, 0.000], [0.502, 0.500, 0.654], [0.502, 0.000, 0.500], [0.502, 0.500, 0.346], [0.498, 0.000, 0.154], [0.498, 0.500, 0.000], [0.498, 0.000, 0.846]],
  "dos_at_fermi_per_ev_atom": 0.567,
  "delta_e_f_ev_per_atom": -0.840
}



No. 5
{
  "formula": "Ho3Er3PuSe8",
  "functional": "PBE-GGA",
  "state": "relaxed",
  "lattice_angstrom": [[8.083, 0.000, -0.001], [-4.041, 7.000, -0.024], [-0.001, -4.644, 6.618]],
  "species": ["Ho", "Ho", "Ho", "Er", "Er", "Er", "Pu", "Se", "Se", "Se", "Se", "Se", "Se", "Se", "Se"],
  "frac_coords": [[0.000, 0.000, 0.000], [0.000, 0.500, 0.000], [0.500, 0.500, 0.000], [0.500, 0.000, 0.500], [0.500, 0.500, 0.500], [0.000, 0.500, 0.500], [0.000, 0.000, 0.500], [0.251, 0.501, 0.252], [0.749, 0.499, 0.748], [0.742, 0.485, 0.243], [0.258, 0.515, 0.757], [0.742, 0.001, 0.243], [0.258, 0.999, 0.757], [0.259, 0.001, 0.243], [0.741, 0.999, 0.757]],
  "dos_at_fermi_per_ev_atom": 1.070,
  "raw_formation_energy_ev_per_atom": -1.75
}



No. 6
{
  "formula": "SbWAu2",
  "functional": "PBE-GGA",
  "state": "relaxed",
  "lattice_angstrom": [[-4.765, 1.174, -1.196], [-1.855, -4.050, -2.380], [2.361, 0.306, 4.454]],
  "species": ["Au", "Au", "Sb", "W"],
  "frac_coords": [[0.000, 0.000, 0.000], [0.250, 0.750, 0.500], [0.500, 0.500, 0.000], [0.750, 0.250, 0.500]],
  "dos_at_fermi_per_ev_atom": 1.161,
  "raw_formation_energy_ev_per_atom": 0.58
}



No. 7
{
  "formula": "Li2PmBr5",
  "functional": "PBE-GGA",
  "state": "relaxed",
  "lattice_angstrom": [[-4.782, 2.170, 1.704], [2.331, -5.284, 4.325], [7.070, 9.478, 7.769]],
  "species": ["Li", "Li", "Li", "Li", "Pm", "Pm", "Br", "Br", "Br", "Br", "Br", "Br", "Br", "Br", "Br", "Br"],
  "frac_coords": [[0.854, 0.707, 0.469], [0.854, 0.707, 0.031], [0.146, 0.293, 0.531], [0.146, 0.293, 0.969], [0.801, 0.601, 0.750], [0.199, 0.399, 0.250], [0.962, 0.924, 0.879], [0.962, 0.924, 0.621], [0.318, 0.635, 0.427], [0.318, 0.635, 0.073], [0.761, 0.522, 0.250], [0.239, 0.478, 0.750], [0.682, 0.365, 0.573], [0.682, 0.365, 0.927], [0.038, 0.076, 0.121], [0.038, 0.076, 0.379]],
  "dos_at_fermi_per_ev_atom": 0.000,
  "raw_formation_energy_ev_per_atom": -1.65
}



No. 8
{
  "formula": "PrMo4",
  "functional": "PBE-GGA",
  "state": "relaxed",
  "lattice_angstrom": [[4.815, 0.000, 0.000], [0.000, 4.815, 0.000], [0.000, 0.000, 4.815]],
  "species": ["Pr", "Mo", "Mo", "Mo", "Mo"],
  "frac_coords": [[0.500, 0.500, 0.500], [0.000, 0.000, 0.000], [0.500, 0.000, 0.500], [0.000, 0.500, 0.500], [0.500, 0.500, 0.000]],
  "dos_at_fermi_per_ev_atom": 1.713,
  "delta_e_f_ev_per_atom": 2.877
}



No. 9
{
  "formula": "DyTiGa2",
  "functional": "PBE-GGA",
  "state": "relaxed",
  "lattice_angstrom": [[3.457, 0.000, 0.000], [0.000, 3.457, 0.000], [0.000, 0.000, 6.451]],
  "species": ["Ti", "Ga", "Ga", "Dy"],
  "frac_coords": [[0.500, 0.500, 0.000], [0.000, 0.000, 0.791], [0.000, 0.000, 0.209], [0.500, 0.500, 0.500]],
  "dos_at_fermi_per_ev_atom": 0.488,
  "delta_e_f_ev_per_atom": -0.433,
  "polymorph_energy_ev_per_atom": 0.000
}



No. 10
{
  "formula": "CoPC",
  "functional": "PBE-GGA",
  "state": "relaxed",
  "lattice_angstrom": [[-3.339, 1.844, -1.972], [0.966, -0.843, -2.424], [-2.151, -4.373, 0.663]],
  "species": ["P", "P", "C", "C", "Co", "Co"],
  "frac_coords": [[0.709, 0.000, 0.081], [0.709, 0.500, 0.581], [0.498, 0.000, 0.387], [0.498, 0.500, 0.887], [0.122, 0.000, 0.821], [0.122, 0.500, 0.321]],
  "dos_at_fermi_per_ev_atom": 0.649,
  "delta_e_f_ev_per_atom": 0.482,
  "polymorph_energy_ev_per_atom": 0.212
}



No. 11
{
  "formula": "CeHoS2",
  "functional": "PBE-GGA",
  "state": "relaxed",
  "lattice_angstrom": [[-3.840, -0.101, -0.374], [-2.078, -2.495, 2.087], [-2.588, 3.866, 5.615]],
  "species": ["Ce", "Ho", "S", "S"],
  "frac_coords": [[0.495, 0.495, 0.514], [0.671, 0.671, 0.986], [0.077, 0.077, 0.768], [0.256, 0.256, 0.232]],
  "dos_at_fermi_per_ev_atom": 1.625,
  "polymorph_energy_ev_per_atom": 0.091,
  "raw_formation_energy_ev_per_atom": -1.93
}



No. 12
{
  "formula": "Tb4PrP5",
  "functional": "PBE-GGA",
  "state": "relaxed",
  "lattice_angstrom": [[-4.017, -0.494, 0.403], [-0.963, -5.925, 3.671], [-1.544, 2.752, 8.522]],
  "species": ["Tb", "Tb", "Tb", "Tb", "Pr", "P", "P", "P", "P", "P"],
  "frac_coords": [[0.599, 0.202, 0.600], [0.201, 0.396, 0.203], [0.799, 0.604, 0.797], [0.401, 0.798, 0.400], [0.000, 0.000, 0.000], [0.202, 0.901, 0.694], [0.798, 0.099, 0.306], [0.396, 0.311, 0.897], [0.000, 0.500, 0.500], [0.604, 0.689, 0.103]],
  "dos_at_fermi_per_ev_atom": 0.151,
  "delta_e_f_ev_per_atom": -1.585
}



No. 13
{
  "formula": "CsRb2CuF6",
  "functional": "PBE-GGA",
  "state": "relaxed",
  "lattice_angstrom": [[6.482, 0.000, -0.056], [0.000, 6.721, 0.000], [-0.025, 0.000, 9.218]],
  "species": ["Cs", "Cs", "Rb", "Rb", "Rb", "Rb", "Cu", "Cu", "F", "F", "F", "F", "F", "F", "F", "F", "F", "F", "F", "F"],
  "frac_coords": [[0.500, 0.000, 0.000], [0.000, 0.500, 0.500], [0.014, 0.956, 0.252], [0.514, 0.544, 0.752], [0.986, 0.044, 0.748], [0.486, 0.456, 0.248], [0.500, 0.000, 0.500], [0.000, 0.500, 0.000], [0.240, 0.665, 0.040], [0.740, 0.835, 0.540], [0.760, 0.335, 0.960], [0.260, 0.165, 0.460], [0.347, 0.766, 0.432], [0.847, 0.734, 0.932], [0.653, 0.234, 0.568], [0.153, 0.266, 0.068], [0.902, 0.551, 0.195], [0.402, 0.949, 0.695], [0.098, 0.449, 0.805], [0.598, 0.051, 0.305]],
  "polymorph_energy_ev_per_atom": 0.000,
  "raw_formation_energy_ev_per_atom": -2.27
}



No. 14
{
  "formula": "Ac2ZnPdRh",
  "functional": "PBE-GGA",
  "state": "relaxed",
  "lattice_angstrom": [[-3.217, 0.834, -2.760], [-1.120, -8.101, -1.141], [-4.278, 2.679, 5.796]],
  "species": ["Ac", "Ac", "Ac", "Ac", "Zn", "Zn", "Pd", "Pd", "Rh", "Rh"],
  "frac_coords": [[0.750, 0.860, 0.628], [0.750, 0.712, 0.045], [0.250, 0.140, 0.372], [0.250, 0.288, 0.955], [0.250, 0.558, 0.656], [0.750, 0.442, 0.344], [0.250, 0.644, 0.326], [0.750, 0.356, 0.674], [0.250, 0.882, 0.901], [0.750, 0.118, 0.099]],
  "dos_at_fermi_per_ev_atom": 0.640,
  "delta_e_f_ev_per_atom": -0.647
}



No. 15
{
  "formula": "NaLa3Ir",
  "functional": "PBE-GGA",
  "state": "relaxed",
  "lattice_angstrom": [[5.304, 0.000, 2.195], [0.000, 8.990, 0.000], [0.085, 0.000, 7.280]],
  "species": ["Na", "Na", "Ir", "Ir", "La", "La", "La", "La", "La", "La"],
  "frac_coords": [[0.300, 0.250, 0.899], [0.700, 0.750, 0.101], [0.026, 0.250, 0.448], [0.974, 0.750, 0.552], [0.868, 0.466, 0.762], [0.132, 0.534, 0.238], [0.868, 0.034, 0.762], [0.132, 0.966, 0.238], [0.569, 0.250, 0.363], [0.431, 0.750, 0.637]],
  "dos_at_fermi_per_ev_atom": 1.434,
  "delta_e_f_ev_per_atom": -0.252,
  "polymorph_energy_ev_per_atom": 0.072
}



No. 16
{
  "formula": "AcPrNdPu",
  "functional": "PBE-GGA",
  "state": "relaxed",
  "lattice_angstrom": [[5.904, 0.000, 0.000], [2.952, 5.113, 0.000], [2.952, 1.704, 4.820]],
  "species": ["Pr", "Ac", "Nd", "Pu"],
  "frac_coords": [[0.750, 0.750, 0.750], [0.500, 0.500, 0.500], [0.250, 0.250, 0.250], [0.000, 0.000, 0.000]],
  "dos_at_fermi_per_ev_atom": 4.269,
  "delta_e_f_ev_per_atom": 0.270
}



No. 17
{
  "formula": "Cd2InTc",
  "functional": "PBE-GGA",
  "state": "relaxed",
  "lattice_angstrom": [[-4.713, 0.555, -2.894], [-4.821, -0.541, 2.712], [4.761, 2.796, 0.639]],
  "species": ["Cd", "Cd", "In", "Tc"],
  "frac_coords": [[0.000, 0.000, 0.000], [0.500, 0.500, 0.000], [0.250, 0.750, 0.500], [0.750, 0.250, 0.500]],
  "dos_at_fermi_per_ev_atom": 0.778,
  "delta_e_f_ev_per_atom": 0.301
}



No. 18
{
  "formula": "Sn3BS",
  "functional": "PBE-GGA",
  "state": "relaxed",
  "lattice_angstrom": [[-2.656, -4.021, -0.735], [-0.068, -0.833, 4.802], [-4.087, 2.627, 0.398]],
  "species": ["S", "B", "Sn", "Sn", "Sn"],
  "frac_coords": [[0.500, 0.500, 0.500], [0.000, 0.000, 0.000], [0.000, 0.500, 0.000], [0.000, 0.000, 0.500], [0.500, 0.000, 0.000]],
  "dos_at_fermi_per_ev_atom": 0.526,
  "polymorph_energy_ev_per_atom": 0.000,
  "raw_formation_energy_ev_per_atom": 0.57
}



No. 19
{
  "formula": "Zn2WBr",
  "functional": "PBE-GGA",
  "state": "relaxed",
  "lattice_angstrom": [[-4.519, -2.756, 0.832], [0.233, -4.651, 2.649], [1.771, 5.020, 0.604]],
  "species": ["Br", "W", "Zn", "Zn"],
  "frac_coords": [[0.250, 0.750, 0.500], [0.750, 0.250, 0.500], [0.000, 0.000, 0.000], [0.500, 0.500, 0.000]],
  "dos_at_fermi_per_ev_atom": 0.762,
  "polymorph_energy_ev_per_atom": 0.589,
  "raw_formation_energy_ev_per_atom": 0.98
}



No. 20
{
  "formula": "TaTl3Au2Se6",
  "functional": "PBE-GGA",
  "state": "relaxed",
  "lattice_angstrom": [[-4.060, -6.394, -1.134], [7.410, 0.221, -1.920], [2.063, -2.667, 7.653]],
  "species": ["Ta", "Tl", "Tl", "Tl", "Au", "Au", "Se", "Se", "Se", "Se", "Se", "Se"],
  "frac_coords": [[0.000, 0.000, 0.500], [0.333, 0.667, 0.693], [0.667, 0.333, 0.307], [0.000, 0.000, 0.000], [0.667, 0.333, 0.659], [0.333, 0.667, 0.341], [0.705, 0.853, 0.299], [0.147, 0.295, 0.299], [0.147, 0.853, 0.299], [0.853, 0.705, 0.701], [0.295, 0.147, 0.701], [0.853, 0.147, 0.701]],
  "dos_at_fermi_per_ev_atom": 0.828,
  "raw_formation_energy_ev_per_atom": -0.21
}